Density functional theory data (PBE-GGA) for a geometry-optimized Pr2PBrCl structure.

total magnetization	0.01	Bohr magnetons per cell
SG	P3m1 (156)
calculated total energy	-5.55	eV per atom

Structure (POSCAR):
```
Pr2PBrCl
1.0
4.175 0.000 0.000
-2.087 3.615 0.000
0.000 0.000 10.694
Pr P Br Cl
2 1 1 1
Direct
0.000 0.000 0.000
0.333 0.667 0.698
0.667 0.333 0.849
0.000 0.000 0.521
0.333 0.667 0.156
```